DFT (PBE) results for Zn2CrHg after structural relaxation.

Geometry as POSCAR:
```
Zn2CrHg
1.0
-2.042 2.042 4.068
2.042 -2.042 4.068
2.042 2.042 -4.068
Zn Cr Hg
2 1 1
Cartesian
2.042 0.000 2.034
0.000 2.042 2.034
0.000 0.000 0.000
0.000 0.000 4.068
```

Theoretical density in Mg/m³: 9.4
Symmetry: I4/mmm (139)
Energy above the most stable polymorph in this dataset in eV per atom: 0.024
Formation energy in eV/atom: 0.244